# 1
The following is a PBE-GGA calculation of an optimized crystal structure of SnIrN3, from Alexandria via LeMat-Bulk.

Unit cell a=4.0397 b=4.0397 c=4.0397 alpha=90.00 beta=90.00 gamma=90.00
Closest atoms and distances in Å follow each position.
Sites, in units of the cell vectors:
Sn (0.0000, 0.0000, 0.0000)  6 N 2.02
Ir (0.5000, 0.5000, 0.5000)  12 N 2.86
N (0.0000, 0.0000, 0.5000)  2 Sn 2.02
N (0.0000, 0.5000, 0.0000)  2 Sn 2.02
N (0.5000, 0.0000, 0.0000)  2 Sn 2.02

Values from the calculation:
Density, g cm⁻³: 8.9
Formation energy (no corrections), eV per atom: 2.310
Total magnetization, μB per cell: 0.2

# 2
The following is a PBE-GGA calculation of an optimized crystal structure of Re2WCl, from Alexandria via LeMat-Bulk.

Unit cell a=5.2590 b=5.2590 c=4.5830 alpha=115.34 beta=115.34 gamma=32.15
Closest atoms and distances in Å follow each position.
Sites, in units of the cell vectors:
Re (0.0000, 0.0000, 0.0000)  2 Cl 2.46, 2 Re 2.72
Re (0.2462, 0.2462, 0.7746)  2 Cl 2.60, 4 Re 2.72-2.91, 4 W 2.73-2.74
W (0.7818, 0.7818, 0.3082)  2 Cl 2.52, 4 Re 2.73-2.74
Cl (0.5085, 0.5085, 0.5757)  4 Re 2.46-2.60, 2 W 2.52

Values from the calculation:
Density, g cm⁻³: 16.3
Energy above the lowest structure with this stoichiometry, meV per atom: 363.8
Formation energy (no corrections), eV per atom: 0.817
Total magnetization, μB per cell: 0.0

# 3
The following is a PBE-GGA calculation of an optimized crystal structure of Tm4Mg3Al, from Alexandria via LeMat-Bulk.

Unit cell a=9.0509 b=9.0509 c=9.0509 alpha=33.55 beta=33.55 gamma=33.55
Closest atoms and distances in Å follow each position.
Sites, in units of the cell vectors:
Tm (0.1217, 0.1217, 0.1217)  1 Al 3.11, 7 Mg 3.15-3.23
Tm (0.3720, 0.3720, 0.3720)  3 Al 3.17, 5 Mg 3.20-3.28
Tm (0.6280, 0.6280, 0.6280)  3 Al 3.17, 5 Mg 3.20-3.28
Tm (0.8783, 0.8783, 0.8783)  1 Al 3.11, 7 Mg 3.15-3.23
Mg (0.2470, 0.2470, 0.2470)  8 Tm 3.15-3.25
Mg (0.5000, 0.5000, 0.5000)  8 Tm 3.23-3.28
Mg (0.7530, 0.7530, 0.7530)  8 Tm 3.15-3.25
Al (0.0000, 0.0000, 0.0000)  8 Tm 3.11-3.17

Values from the calculation:
Density, g cm⁻³: 6.4
Energy above the lowest structure with this stoichiometry, meV per atom: 0.0
Total magnetization, μB per cell: 0.0
ΔE_f, eV per atom: -0.16

# 4
The following is a PBE-GGA calculation of an optimized crystal structure of LiAs2PbSe, from Alexandria via LeMat-Bulk.

Unit cell a=4.5961 b=4.5961 c=5.3543 alpha=90.00 beta=90.00 gamma=90.00
Closest atoms and distances in Å follow each position.
Sites, in units of the cell vectors:
Li (0.0000, 0.0000, 0.0000)  4 As 2.30
As (0.0000, 0.5000, 0.0000)  2 Li 2.30
As (0.5000, 0.0000, 0.0000)  2 Li 2.30
Pb (0.5000, 0.5000, 0.5000)  4 Se 3.25, 8 As 3.53
Se (0.0000, 0.0000, 0.5000)  2 Li 2.68

Values from the calculation:
Density, g cm⁻³: 6.5
Energy above the lowest structure with this stoichiometry, meV per atom: 0.0
Formation energy (no corrections), eV per atom: 0.225
Total magnetization, μB per cell: 0.0

# 5
The following is a PBE-GGA calculation of an optimized crystal structure of Mg2Zr3Tl, from Alexandria via LeMat-Bulk.

Unit cell a=9.2187 b=9.2187 c=2.8939 alpha=90.00 beta=90.00 gamma=143.46
Closest atoms and distances in Å follow each position.
Sites, in units of the cell vectors:
Mg (0.1741, 0.8259, 0.0000)  2 Mg 2.89, 4 Zr 2.92-3.05
Mg (0.8259, 0.1741, 0.0000)  2 Mg 2.89, 4 Zr 2.92-3.05
Zr (0.0000, 0.0000, 0.0000)  2 Zr 2.89, 2 Mg 3.05, 4 Tl 3.23
Zr (0.3478, 0.6522, 0.0000)  2 Zr 2.89, 3 Mg 2.92-3.04, 2 Tl 3.03
Zr (0.6522, 0.3478, 0.0000)  2 Zr 2.89, 3 Mg 2.92-3.04, 2 Tl 3.03
Tl (0.5000, 0.5000, 0.5000)  2 Tl 2.89, 8 Zr 3.03-3.23

Values from the calculation:
Density, g cm⁻³: 6.0
Total magnetization, μB per cell: 0.0
ΔE_f, eV per atom: 0.50

# 6
The following is a PBE-GGA calculation of an optimized crystal structure of Pm12Sm7Cd, from Alexandria via LeMat-Bulk.

Unit cell a=8.8794 b=8.8794 c=8.8794 alpha=89.25 beta=89.25 gamma=89.25
Closest atoms and distances in Å follow each position.
Sites, in units of the cell vectors:
Pm (0.0051, 0.3328, 0.8909)  1 Cd 3.10, 2 Sm 3.36-3.44
Pm (0.1091, 0.9949, 0.6672)  1 Cd 3.10, 2 Sm 3.36-3.44
Pm (0.1225, 0.3401, 0.4635)  6 Pm 3.54-3.92, 5 Sm 3.63-3.78
Pm (0.3328, 0.8909, 0.0051)  1 Cd 3.10, 2 Sm 3.36-3.44
Pm (0.3401, 0.4635, 0.1225)  6 Pm 3.54-3.92, 5 Sm 3.63-3.78
Pm (0.4635, 0.1225, 0.3401)  6 Pm 3.54-3.92, 5 Sm 3.63-3.78
Pm (0.5365, 0.8775, 0.6599)  6 Pm 3.54-3.92, 5 Sm 3.63-3.78
Pm (0.6599, 0.5365, 0.8775)  6 Pm 3.54-3.92, 5 Sm 3.63-3.78
Pm (0.6672, 0.1091, 0.9949)  1 Cd 3.10, 2 Sm 3.36-3.44
Pm (0.8775, 0.6599, 0.5365)  6 Pm 3.54-3.92, 5 Sm 3.63-3.78
Pm (0.8909, 0.0051, 0.3328)  1 Cd 3.10, 2 Sm 3.36-3.44
Pm (0.9949, 0.6672, 0.1091)  1 Cd 3.10, 2 Sm 3.36-3.44
Sm (0.2145, 0.6199, 0.7619)  6 Pm 3.36-3.66, 3 Sm 3.58-3.68
Sm (0.2381, 0.7855, 0.3801)  6 Pm 3.36-3.66, 3 Sm 3.58-3.68
Sm (0.3801, 0.2381, 0.7855)  6 Pm 3.36-3.66, 3 Sm 3.58-3.68
Sm (0.5000, 0.5000, 0.5000)  6 Sm 3.58, 6 Pm 3.68
Sm (0.6199, 0.7619, 0.2145)  6 Pm 3.36-3.66, 3 Sm 3.58-3.68
Sm (0.7619, 0.2145, 0.6199)  6 Pm 3.36-3.66, 3 Sm 3.58-3.68
Sm (0.7855, 0.3801, 0.2381)  6 Pm 3.36-3.66, 3 Sm 3.58-3.68
Cd (0.0000, 0.0000, 0.0000)  6 Pm 3.10

Values from the calculation:
Density, g cm⁻³: 6.9
Total magnetization, μB per cell: 0.0
ΔE_f, eV per atom: 0.18

- Which value of total magnetization does entry 1 give?
  0.2 μB per cell